A relaxed CrFe2Tc crystal, computed with PBE.

Output
Electronic total energy: -9.135 eV/atom
E_form: 0.0940 eV per atom
Magnetization: 1.186 μB/atom

Cell lengths 2.9810, 3.9995, 4.1650 Å; angles 90.00, 90.00, 90.00 degrees
Atoms (fractional coordinates):
Cr  0.0000  0.0000  0.0000
Fe  0.0000  0.5000  0.5000
Fe  0.5000  0.0000  0.5000
Tc  0.5000  0.5000  0.0000


A relaxed ZnSiIr2 crystal, computed with PBE.

Output
ΔE_f (raw): -30 kJ/mol of atoms
Electronic total energy: -6.416 eV/atom
Magnetization: 0.000 μB/atom

Cell lengths 4.8313, 4.8313, 4.3606 Å; angles 105.87, 105.87, 34.61 degrees
Atoms (fractional coordinates):
Zn  0.0000  0.0000  0.0000
Si  0.7571  0.7571  0.3896
Ir  0.2521  0.2521  0.8856
Ir  0.4899  0.4899  0.4865


A relaxed NaReS3 crystal, computed with PBE.

Output
ΔE_f (raw): 163 kJ/mol of atoms
Electronic total energy: -3.538 eV/atom
Magnetization: 0.400 μB/atom

Cell lengths 4.7894, 4.7894, 4.7894 Å; angles 90.00, 90.00, 90.00 degrees
Atoms (fractional coordinates):
Na  0.0000  0.0000  0.0000
Re  0.5000  0.5000  0.5000
S  0.0000  0.0000  0.5000
S  0.0000  0.5000  0.0000
S  0.5000  0.0000  0.0000


A relaxed ErCu4 crystal, computed with PBE.

Output
Electronic total energy: -2.784 eV/atom
E_form: 1.4052 eV per atom
Magnetization: 0.000 μB/atom

Cell lengths 4.9685, 4.9685, 4.9685 Å; angles 90.00, 90.00, 90.00 degrees
Atoms (fractional coordinates):
Er  0.0000  0.0000  0.0000
Cu  0.0000  0.0000  0.5000
Cu  0.0000  0.5000  0.0000
Cu  0.5000  0.0000  0.0000
Cu  0.5000  0.5000  0.5000


A relaxed Ho2ErTe4 crystal, computed with PBE.

Output
ΔE_f (raw): -131 kJ/mol of atoms
Electronic total energy: -5.118 eV/atom
Magnetization: 0.000 μB/atom

Cell lengths 8.3467, 8.3467, 7.5363 Å; angles 116.50, 116.50, 30.00 degrees
Atoms (fractional coordinates):
Ho  0.2440  0.2440  0.2290
Ho  0.7560  0.7560  0.7710
Er  0.5000  0.5000  0.5000
Te  0.1282  0.1282  0.4652
Te  0.3807  0.3807  0.0488
Te  0.6193  0.6193  0.9512
Te  0.8718  0.8718  0.5348


A relaxed AlGe2PCl crystal, computed with PBE.

Output
ΔE_f (raw): 45 kJ/mol of atoms
Electronic total energy: -3.578 eV/atom
Magnetization: 0.000 μB/atom

Cell lengths 5.1255, 5.1255, 4.4708 Å; angles 90.00, 90.00, 90.00 degrees
Atoms (fractional coordinates):
Al  0.0000  0.0000  0.0000
Ge  0.0000  0.5000  0.0000
Ge  0.5000  0.0000  0.0000
P  0.0000  0.0000  0.5000
Cl  0.5000  0.5000  0.5000